No. 1
Below is an optimized crystal structure of Nb2AgN2, with properties calculated at the PBE level.

Symmetry ... No. 139
Total energy ... -8.192 eV/atom
Theoretical density ... 6.9 g cm⁻³
N(E_F) ... 3.39 states/eV/cell
Energy relative to the elements, uncorrected ... -0.26 eV per atom
Calculated volume ... 15.52 Å³ per atom
M_tot ... 0.00 μB per formula unit

Cell lengths 4.065, 4.065, 5.505 Å; angles 68.33, 68.33, 90.00 degrees
Fractional positions:
Nb 0.250 0.750 0.500
Nb 0.750 0.250 0.500
N 0.688 0.688 0.625
Ag 0.000 0.000 0.000
N 0.312 0.312 0.375

---

No. 2
Below is an optimized crystal structure of TbPrTeAs, with properties calculated at the PBE level.

Symmetry ... No. 160
Total energy ... -5.774 eV/atom
Theoretical density ... 7.1 g cm⁻³
N(E_F) ... 2.64 states/eV/cell
Energy relative to the elements, uncorrected ... -1.47 eV per atom
Calculated volume ... 29.20 Å³ per atom
M_tot ... 0.00 μB per formula unit

Cell lengths 4.233, 4.233, 7.915 Å; angles 90.00, 105.51, 120.00 degrees
Fractional positions:
As 0.298 0.547 0.861
Te 0.974 0.385 0.375
Pr 0.114 0.955 0.084
Tb 0.491 0.144 0.650

---

No. 3
Below is an optimized crystal structure of AgBrCl, with properties calculated at the PBE level.

Symmetry ... No. 12
Total energy ... -2.340 eV/atom
Theoretical density ... 4.6 g cm⁻³
N(E_F) ... 8.07 states/eV/cell
Energy relative to the elements, uncorrected ... -0.22 eV per atom
Calculated volume ... 26.93 Å³ per atom
M_tot ... 0.00 μB per formula unit

Cell lengths 4.077, 6.645, 6.581 Å; angles 106.73, 108.04, 90.00 degrees
Fractional positions:
Br 0.636 0.384 0.271
Cl 0.114 0.872 0.227
Cl 0.886 0.128 0.773
Br 0.364 0.616 0.729
Ag 0.500 0.000 0.000
Ag 0.000 0.500 0.000

---

> What is the formula in the second record?

TbPrTeAs